NpBiAu2 | PBE | relaxed

Unit cell a=4.514 b=4.514 c=6.665 alpha=70.21 beta=70.21 gamma=60.00
Site moments in Bohr magnetons follow the coordinates.
Fractional positions:
Np  0.671  0.671  0.988  3.82
Bi  0.488  0.488  0.535  -0.04
Au  0.086  0.086  0.741  -0.01
Au  0.254  0.254  0.237  -0.03

**Energy**: -5.810 eV/atom
**Space-group type**: R3m (160)